No. 1
Density functional theory data (PBE) for AcSmY14 after structural relaxation.

Lattice parameters (Å, degrees): 7.239 7.239 11.629 90.00 90.00 119.88
Sites, in units of the cell vectors:
Ac1 0.708 0.292 0.500
Sm1 0.208 0.792 0.500
Y1 0.042 0.958 0.000
Y2 0.541 0.459 0.000
Y3 0.208 0.291 0.500
Y4 0.043 0.459 0.000
Y5 0.709 0.792 0.500
Y6 0.541 0.957 0.000
Y7 0.373 0.124 0.755
Y8 0.373 0.124 0.245
Y9 0.876 0.627 0.755
Y10 0.876 0.627 0.245
Y11 0.375 0.625 0.750
Y12 0.375 0.625 0.250
Y13 0.876 0.124 0.755
Y14 0.876 0.124 0.245

The calculated density is 5.098 g cm⁻³. The formation energy is 0.25 eV per formula unit. Its space group is Amm2 (38). The value obtained for the total magnetic moment is 0.00 μB per atom. As for the density of states at the Fermi level: 22.70 states/eV/f.u.



No. 2
Density functional theory data (PBE) for AcSm15Y4 after structural relaxation.

Lattice parameters (Å, degrees): 5.145 5.145 25.695 90.00 90.00 90.00
Sites, in units of the cell vectors:
Ac1 0.000 0.000 0.000
Sm1 0.500 0.500 0.000
Sm2 0.500 0.500 0.204
Sm3 0.500 0.500 0.401
Sm4 0.500 0.500 0.599
Sm5 0.500 0.500 0.796
Sm6 0.500 0.000 0.105
Sm7 0.500 0.000 0.302
Sm8 0.500 0.000 0.500
Sm9 0.500 0.000 0.698
Sm10 0.500 0.000 0.895
Sm11 0.000 0.500 0.105
Sm12 0.000 0.500 0.302
Sm13 0.000 0.500 0.500
Sm14 0.000 0.500 0.698
Sm15 0.000 0.500 0.895
Y1 0.000 0.000 0.203
Y2 0.000 0.000 0.401
Y3 0.000 0.000 0.599
Y4 0.000 0.000 0.797

The calculated density is 6.930 g cm⁻³. The formation energy is 0.45 eV per formula unit. Its space group is P4/mmm (123). The value obtained for the total magnetic moment is 0.00 μB per atom. As for the density of states at the Fermi level: 29.34 states/eV/f.u.



No. 3
Density functional theory data (PBE) for AcSm2Y5 after structural relaxation.

Lattice parameters (Å, degrees): 5.135 7.276 14.570 90.00 90.00 90.00
Sites, in units of the cell vectors:
Ac1 0.000 0.000 0.500
Ac2 0.000 0.500 0.000
Sm1 0.500 0.255 0.628
Sm2 0.500 0.745 0.372
Sm3 0.500 0.245 0.128
Sm4 0.500 0.755 0.872
Y1 0.000 0.000 0.000
Y2 0.000 0.500 0.500
Y3 0.000 0.503 0.747
Y4 0.000 0.497 0.253
Y5 0.000 0.997 0.247
Y6 0.000 0.003 0.753
Y7 0.500 0.250 0.872
Y8 0.500 0.750 0.128
Y9 0.500 0.250 0.372
Y10 0.500 0.750 0.628

The calculated density is 5.931 g cm⁻³. The formation energy is 0.27 eV per formula unit. Its energy above the lowest structure with this stoichiometry is 21 meV per atom. Its space group is Pbam (55). The value obtained for the total magnetic moment is 0.00 μB per atom. As for the density of states at the Fermi level: 11.62 states/eV/f.u.



No. 4
Density functional theory data (PBE) for AcSm5Y5 after structural relaxation.

Lattice parameters (Å, degrees): 6.209 6.209 11.839 90.00 90.00 120.00
Sites, in units of the cell vectors:
Ac1 0.333 0.667 0.000
Sm1 0.667 0.333 0.158
Sm2 0.667 0.333 0.842
Sm3 0.333 0.667 0.329
Sm4 0.333 0.667 0.671
Sm5 0.000 0.000 0.000
Y1 0.332 0.166 0.500
Y2 0.000 0.000 0.262
Y3 0.834 0.668 0.500
Y4 0.834 0.166 0.500
Y5 0.000 0.000 0.738

The calculated density is 5.979 g cm⁻³. The formation energy is 3.41 eV per formula unit. Its space group is P-6m2 (187). The value obtained for the total magnetic moment is 0.00 μB per atom. As for the density of states at the Fermi level: 22.27 states/eV/f.u.



No. 5
Density functional theory data (PBE) for Ac8SmY5 after structural relaxation.

Lattice parameters (Å, degrees): 9.477 8.993 9.332 119.32 97.93 114.27
Sites, in units of the cell vectors:
Ac1 0.189 0.724 0.067
Ac2 0.039 0.149 0.694
Ac3 0.687 0.173 0.391
Ac4 0.686 0.386 0.855
Ac5 0.542 0.673 0.314
Ac6 0.624 0.924 0.867
Ac7 0.385 0.324 0.474
Ac8 0.870 0.564 0.314
Sm1 0.145 0.557 0.612
Y1 0.092 0.318 0.159
Y2 0.920 0.935 0.212
Y3 0.904 0.750 0.770
Y4 0.317 0.905 0.530
Y5 0.349 0.117 0.991

The calculated density is 7.002 g cm⁻³. The formation energy is 1.96 eV per formula unit. Its space group is P1 (1). The value obtained for the total magnetic moment is 0.00 μB per atom. As for the density of states at the Fermi level: 22.42 states/eV/f.u.



No. 6
Density functional theory data (PBE) for Ac15SmY4 after structural relaxation.

Lattice parameters (Å, degrees): 5.511 5.511 27.405 90.00 90.00 90.00
Sites, in units of the cell vectors:
Ac1 0.500 0.500 0.000
Ac2 0.500 0.500 0.200
Ac3 0.500 0.500 0.400
Ac4 0.500 0.500 0.600
Ac5 0.500 0.500 0.800
Ac6 0.500 0.000 0.100
Ac7 0.500 0.000 0.300
Ac8 0.500 0.000 0.500
Ac9 0.500 0.000 0.700
Ac10 0.500 0.000 0.900
Ac11 0.000 0.500 0.100
Ac12 0.000 0.500 0.300
Ac13 0.000 0.500 0.500
Ac14 0.000 0.500 0.700
Ac15 0.000 0.500 0.900
Sm1 0.000 0.000 0.000
Y1 0.000 0.000 0.200
Y2 0.000 0.000 0.400
Y3 0.000 0.000 0.600
Y4 0.000 0.000 0.800

The calculated density is 7.804 g cm⁻³. The formation energy is 0.52 eV per formula unit. Its space group is P4/mmm (123). The value obtained for the total magnetic moment is 0.00 μB per atom. As for the density of states at the Fermi level: 23.73 states/eV/f.u.



No. 7
Density functional theory data (PBE) for Ac2SmY2 after structural relaxation.

Lattice parameters (Å, degrees): 12.913 6.606 10.090 109.28 146.75 89.89
Sites, in units of the cell vectors:
Ac1 0.240 0.881 0.090
Ac2 0.258 0.288 0.909
Ac3 0.742 0.712 0.091
Ac4 0.760 0.119 0.910
Sm1 0.246 0.485 0.297
Sm2 0.754 0.515 0.703
Y1 0.256 0.688 0.705
Y2 0.253 0.077 0.505
Y3 0.744 0.312 0.295
Y4 0.747 0.923 0.495

The calculated density is 6.874 g cm⁻³. The formation energy is 0.29 eV per formula unit. Its space group is P-1 (2). The value obtained for the total magnetic moment is 0.00 μB per atom. As for the density of states at the Fermi level: 9.13 states/eV/f.u.



No. 8
Density functional theory data (PBE) for AcSm3Y12 after structural relaxation.

Lattice parameters (Å, degrees): 5.100 5.100 20.438 90.00 90.00 90.00
Sites, in units of the cell vectors:
Ac1 0.000 0.000 0.000
Sm1 0.000 0.000 0.252
Sm2 0.000 0.000 0.500
Sm3 0.000 0.000 0.748
Y1 0.500 0.500 0.000
Y2 0.500 0.500 0.253
Y3 0.500 0.500 0.500
Y4 0.500 0.500 0.747
Y5 0.500 0.000 0.130
Y6 0.500 0.000 0.377
Y7 0.500 0.000 0.623
Y8 0.500 0.000 0.870
Y9 0.000 0.500 0.130
Y10 0.000 0.500 0.377
Y11 0.000 0.500 0.623
Y12 0.000 0.500 0.870

The calculated density is 5.451 g cm⁻³. The formation energy is 0.49 eV per formula unit. Its space group is P4/mmm (123). The value obtained for the total magnetic moment is 0.00 μB per atom. As for the density of states at the Fermi level: 24.43 states/eV/f.u.



No. 9
Density functional theory data (PBE) for Ac2Sm5Y4 after structural relaxation.

Lattice parameters (Å, degrees): 3.701 8.988 12.143 104.76 98.77 90.00
Sites, in units of the cell vectors:
Ac1 0.591 0.727 0.182
Ac2 0.409 0.273 0.818
Sm1 0.137 0.097 0.274
Sm2 0.863 0.903 0.726
Sm3 0.230 0.816 0.459
Sm4 0.500 0.000 0.000
Sm5 0.770 0.184 0.541
Y1 0.683 0.453 0.365
Y2 0.048 0.358 0.096
Y3 0.317 0.547 0.635
Y4 0.952 0.642 0.904

The calculated density is 6.723 g cm⁻³. The formation energy is 0.39 eV per formula unit. Its space group is C2/m (12). The value obtained for the total magnetic moment is 0.00 μB per atom. As for the density of states at the Fermi level: 16.93 states/eV/f.u.



Number 1: raw total energy -6.192 eV per atom. Number 2: raw total energy -5.015 eV per atom. Number 3: raw total energy -5.700 eV per atom. Number 4: raw total energy -5.147 eV per atom. Number 5: raw total energy -4.853 eV per atom. Number 6: raw total energy -4.584 eV per atom. Number 7: raw total energy -5.115 eV per atom. Number 8: raw total energy -5.959 eV per atom. Number 9: raw total energy -5.207 eV per atom.